# 1
The following is a GGA-PBE calculation of a relaxed structure of Ce2Dy2O7, from the Alexandria database.

Results
energy relative to the elements, uncorrected: -3430 meV/atom
energy relative to the lowest polymorph listed for this composition: 0.27 eV/f.u.

Cell lengths 3.846, 3.846, 10.867 Å; angles 90.00, 90.00, 90.00 degrees
Space group P-4m2 (No. 115)
One atom of each set of equivalent atoms:
1 Ce 0.000 0.500 0.126 [2 per cell]
2 Dy 0.000 0.500 0.640 [2 per cell]
3 O 0.000 0.000 0.000 [1 per cell]
4 O 0.000 0.000 0.268 [2 per cell]
5 O 0.500 0.500 0.000 [1 per cell]
6 O 0.500 0.500 0.241 [2 per cell]
7 O 0.500 0.500 0.500 [1 per cell]

=====

# 2
The following is a GGA-PBE calculation of a relaxed structure of Sm7HoTm4, from the Alexandria database.

Results
ΔH_f (0 K): 227 meV/atom
energy relative to the lowest polymorph listed for this composition: 2.70 eV/f.u.

Cell lengths 16.000, 5.927, 9.337 Å; angles 90.00, 116.60, 90.00 degrees
Space group C2/m (No. 12)
One atom of each set of equivalent atoms:
1 Sm 0.000 0.000 0.000 [2 per cell]
2 Sm 0.085 0.500 0.447 [4 per cell]
3 Sm 0.212 0.500 0.239 [4 per cell]
4 Sm 0.213 0.500 0.884 [4 per cell]
5 Ho 0.000 0.500 0.000 [2 per cell]
6 Tm 0.071 0.000 0.699 [4 per cell]
7 Tm 0.170 0.000 0.383 [4 per cell]

=====

# 3
The following is a GGA-PBE calculation of a relaxed structure of KPaTeS, from the Alexandria database.

Results
energy relative to the elements, uncorrected: -1165 meV/atom

Cell lengths 4.1604, 4.1604, 24.6123 Å; angles 90.00, 90.00, 120.00 degrees
Space group R3m (No. 160, hexagonal axes)
One atom of each set of equivalent atoms:
1 K 0.0000 0.0000 0.0000 [3 per cell]
2 Pa 0.0000 0.0000 0.8144 [3 per cell]
3 Te 0.0000 0.0000 0.2285 [3 per cell]
4 S 0.0000 0.0000 0.4208 [3 per cell]

=====

# 4
The following is a GGA-PBE calculation of a relaxed structure of Dy6TlSn2, from the Alexandria database.

Results
ΔH_f (0 K): -446 meV/atom

Cell lengths 8.3229, 8.3229, 4.3947 Å; angles 90.00, 90.00, 120.00 degrees
Space group P-62m (No. 189)
One atom of each set of equivalent atoms:
1 Dy 0.0000 0.4068 0.0000 [3 per cell]
2 Dy 0.0000 0.7410 0.5000 [3 per cell]
3 Tl 0.0000 0.0000 0.0000 [1 per cell]
4 Sn 0.3333 0.6667 0.5000 [2 per cell]

=====

For each record above, in turn, the calculated total magnetization values are 0.0 0.3 1.9 4.6 μB/f.u..
For each record above, in turn, the calculated theoretical density values are 7.4 7.9 5.8 8.9 Mg/m³.